(1)
LaThGe: relaxed, PBE.

a b c (Å): 4.311 4.848 4.848
angles (deg): 120.00 90.00 90.00
Sites, in units of the cell vectors:
La (0.715, 0.667, 0.333)
Th (0.260, 0.333, 0.667)
Ge (0.026, 0.000, 0.000)

Values from the calculation:
Calculated formation energy (kJ/mol of formula units): -66
N(E_F) (states/eV/f.u.): 3.26
Relative energy among the computed polymorphs (eV/atom): 0.1142

(2)
OsRu4: relaxed, PBE.

a b c (Å): 4.636 4.636 4.636
angles (deg): 90.00 90.00 90.00
Sites, in units of the cell vectors:
Ru (0.500, 0.000, 0.500)
Ru (0.500, 0.500, 0.000)
Ru (0.000, 0.000, 0.000)
Ru (0.000, 0.500, 0.500)
Os (0.500, 0.500, 0.500)

Values from the calculation:
Calculated formation energy (kJ/mol of formula units): 987
N(E_F) (states/eV/f.u.): 5.92
Relative energy among the computed polymorphs (eV/atom): 1.9356

(3)
Mg4BeRh: relaxed, PBE.

a b c (Å): 5.351 5.351 5.351
angles (deg): 60.00 60.00 60.00
Sites, in units of the cell vectors:
Rh (0.750, 0.750, 0.750)
Mg (0.874, 0.375, 0.375)
Mg (0.375, 0.874, 0.375)
Mg (0.375, 0.375, 0.874)
Mg (0.375, 0.375, 0.375)
Be (0.000, 0.000, 0.000)

Values from the calculation:
Calculated formation energy (kJ/mol of formula units): 243
N(E_F) (states/eV/f.u.): 3.25

(4)
SrVCo2Pd: relaxed, PBE.

a b c (Å): 4.541 4.998 4.541
angles (deg): 90.00 90.00 90.00
Sites, in units of the cell vectors:
Co (0.000, 0.000, 0.500)
Co (0.500, 0.000, 0.000)
Sr (0.000, 0.000, 0.000)
V (0.500, 0.500, 0.500)
Pd (0.000, 0.500, 0.000)

Values from the calculation:
Calculated formation energy (kJ/mol of formula units): 1074
N(E_F) (states/eV/f.u.): 10.86

(5)
YTi2Ir2: relaxed, PBE.

a b c (Å): 7.711 7.711 3.011
angles (deg): 90.00 90.00 90.00
Sites, in units of the cell vectors:
Ir (0.638, 0.138, 0.000)
Ir (0.362, 0.862, 0.000)
Ir (0.138, 0.362, 0.000)
Ir (0.862, 0.638, 0.000)
Ti (0.150, 0.650, 0.500)
Ti (0.350, 0.150, 0.500)
Ti (0.650, 0.850, 0.500)
Ti (0.850, 0.350, 0.500)
Y (0.500, 0.500, 0.000)
Y (0.000, 0.000, 0.000)

Values from the calculation:
Calculated formation energy (kJ/mol of formula units): -286
N(E_F) (states/eV/f.u.): 4.91
Relative energy among the computed polymorphs (eV/atom): 0.2262

(6)
MgSi4Tc: relaxed, PBE.

a b c (Å): 4.979 4.979 4.979
angles (deg): 60.00 60.00 60.00
Sites, in units of the cell vectors:
Si (0.624, 0.128, 0.624)
Si (0.624, 0.624, 0.624)
Si (0.128, 0.624, 0.624)
Si (0.624, 0.624, 0.128)
Mg (0.000, 0.000, 0.000)
Tc (0.250, 0.250, 0.250)

Values from the calculation:
Formation energy without anion corrections (meV per atom): 340
N(E_F) (states/eV/f.u.): 4.34

(7)
MgIr2Br: relaxed, PBE.

a b c (Å): 3.076 3.681 7.454
angles (deg): 90.00 90.00 90.00
Sites, in units of the cell vectors:
Br (0.500, 0.500, 0.684)
Ir (0.000, 0.000, 0.114)
Ir (0.500, 0.500, 0.225)
Mg (0.000, 0.000, 0.476)

Values from the calculation:
Formation energy without anion corrections (meV per atom): 125
N(E_F) (states/eV/f.u.): 3.17
Relative energy among the computed polymorphs (eV/atom): 0.0217